(1)
# BiHSCl2, relaxed, DFT PBE
# Energy above the lowest structure with this stoichiometry (meV per atom): 17.4
# Uncorrected energy (eV per atom): -2.77
# Space group: No. 123
# Crystal system: tetragonal
# Total moment (μB/cell): 0.0
data_BiHSCl2
_cell_length_a 4.1552
_cell_length_b 4.1552
_cell_length_c 5.3213
_cell_angle_alpha 90.00
_cell_angle_beta 90.00
_cell_angle_gamma 90.00
_symmetry_space_group_name_H-M 'P 1'
_symmetry_Int_Tables_number 1
loop_
_symmetry_equiv_pos_as_xyz
'x,y,z'
loop_
_atom_site_label
_atom_site_type_symbol
_atom_site_fract_x
_atom_site_fract_y
_atom_site_fract_z
_atom_site_occupancy
Bi1 Bi 0.5000 0.5000 0.5000 1
Cl1 Cl 0.0000 0.5000 0.0000 1
H1 H 0.0000 0.0000 0.0000 1
S1 S 0.0000 0.0000 0.5000 1
Cl2 Cl 0.5000 0.0000 0.0000 1


(2)
# TaBiH2Cl, relaxed, DFT PBE
# Uncorrected energy (eV per atom): -3.72
# Space group: No. 123
# Crystal system: tetragonal
# Total moment (μB/cell): 3.1
data_TaBiH2Cl
_cell_length_a 3.8297
_cell_length_b 3.8297
_cell_length_c 7.6338
_cell_angle_alpha 90.00
_cell_angle_beta 90.00
_cell_angle_gamma 90.00
_symmetry_space_group_name_H-M 'P 1'
_symmetry_Int_Tables_number 1
loop_
_symmetry_equiv_pos_as_xyz
'x,y,z'
loop_
_atom_site_label
_atom_site_type_symbol
_atom_site_fract_x
_atom_site_fract_y
_atom_site_fract_z
_atom_site_occupancy
H1 H 0.5000 0.0000 0.0000 1
Cl1 Cl 0.0000 0.0000 0.5000 1
Ta1 Ta 0.5000 0.5000 0.5000 1
H2 H 0.0000 0.5000 0.0000 1
Bi1 Bi 0.0000 0.0000 0.0000 1


(3)
# Hf2BiCl, relaxed, DFT PBE
# Energy above the lowest structure with this stoichiometry (meV per atom): 0.0
# Uncorrected energy (eV per atom): -6.56
# Space group: No. 225
# Energy relative to the elements, uncorrected (eV per atom): -0.156
# Crystal system: cubic
# Total moment (μB/cell): 0.0
data_Hf2BiCl
_cell_length_a 4.9437
_cell_length_b 4.9437
_cell_length_c 4.9437
_cell_angle_alpha 60.00
_cell_angle_beta 60.00
_cell_angle_gamma 60.00
_symmetry_space_group_name_H-M 'P 1'
_symmetry_Int_Tables_number 1
loop_
_symmetry_equiv_pos_as_xyz
'x,y,z'
loop_
_atom_site_label
_atom_site_type_symbol
_atom_site_fract_x
_atom_site_fract_y
_atom_site_fract_z
_atom_site_occupancy
Cl1 Cl 0.0000 0.0000 0.0000 1
Hf1 Hf 0.7500 0.7500 0.7500 1
Bi1 Bi 0.5000 0.5000 0.5000 1
Hf2 Hf 0.2500 0.2500 0.2500 1


(4)
# HfBi2Cl, relaxed, DFT PBE
# Energy above the lowest structure with this stoichiometry (meV per atom): 43.9
# Uncorrected energy (eV per atom): -4.71
# Space group: No. 122
# Energy relative to the elements, uncorrected (eV per atom): 0.184
# Crystal system: tetragonal
# Total moment (μB/cell): 0.0
data_HfBi2Cl
_cell_length_a 4.5010
_cell_length_b 4.5010
_cell_length_c 11.5768
_cell_angle_alpha 78.79
_cell_angle_beta 78.79
_cell_angle_gamma 90.00
_symmetry_space_group_name_H-M 'P 1'
_symmetry_Int_Tables_number 1
loop_
_symmetry_equiv_pos_as_xyz
'x,y,z'
loop_
_atom_site_label
_atom_site_type_symbol
_atom_site_fract_x
_atom_site_fract_y
_atom_site_fract_z
_atom_site_occupancy
Bi1 Bi 0.1030 0.6250 0.2500 1
Hf1 Hf 0.7500 0.2500 0.5000 1
Cl1 Cl 0.2500 0.7500 0.5000 1
Hf2 Hf 0.0000 0.0000 0.0000 1
Bi2 Bi 0.6470 0.1250 0.2500 1
Bi3 Bi 0.3750 0.3530 0.7500 1
Bi4 Bi 0.8750 0.8970 0.7500 1
Cl2 Cl 0.5000 0.5000 0.0000 1


(5)
# HfBi2Cl, relaxed, DFT PBE
# Energy above the lowest structure with this stoichiometry (meV per atom): 0.0
# Uncorrected energy (eV per atom): -4.75
# Space group: No. 225
# Energy relative to the elements, uncorrected (eV per atom): 0.141
# Crystal system: cubic
# Total moment (μB/cell): 0.0
data_HfBi2Cl
_cell_length_a 5.2957
_cell_length_b 5.2957
_cell_length_c 5.2957
_cell_angle_alpha 60.00
_cell_angle_beta 60.00
_cell_angle_gamma 60.00
_symmetry_space_group_name_H-M 'P 1'
_symmetry_Int_Tables_number 1
loop_
_symmetry_equiv_pos_as_xyz
'x,y,z'
loop_
_atom_site_label
_atom_site_type_symbol
_atom_site_fract_x
_atom_site_fract_y
_atom_site_fract_z
_atom_site_occupancy
Bi1 Bi 0.2500 0.2500 0.2500 1
Bi2 Bi 0.7500 0.7500 0.7500 1
Cl1 Cl 0.0000 0.0000 0.0000 1
Hf1 Hf 0.5000 0.5000 0.5000 1


(6)
# HfBiCl2, relaxed, DFT PBE
# Energy above the lowest structure with this stoichiometry (meV per atom): 929.6
# Uncorrected energy (eV per atom): -4.36
# Space group: No. 225
# Energy relative to the elements, uncorrected (eV per atom): 0.024
# Crystal system: cubic
# Total moment (μB/cell): 0.0
data_HfBiCl2
_cell_length_a 4.9859
_cell_length_b 4.9859
_cell_length_c 4.9859
_cell_angle_alpha 60.00
_cell_angle_beta 60.00
_cell_angle_gamma 60.00
_symmetry_space_group_name_H-M 'P 1'
_symmetry_Int_Tables_number 1
loop_
_symmetry_equiv_pos_as_xyz
'x,y,z'
loop_
_atom_site_label
_atom_site_type_symbol
_atom_site_fract_x
_atom_site_fract_y
_atom_site_fract_z
_atom_site_occupancy
Bi1 Bi 0.5000 0.5000 0.5000 1
Cl1 Cl 0.2500 0.2500 0.2500 1
Cl2 Cl 0.7500 0.7500 0.7500 1
Hf1 Hf 0.0000 0.0000 0.0000 1


(7)
# Hf2BiCl, relaxed, DFT PBE
# Energy above the lowest structure with this stoichiometry (meV per atom): 354.7
# Uncorrected energy (eV per atom): -6.21
# Space group: No. 122
# Energy relative to the elements, uncorrected (eV per atom): 0.199
# Crystal system: tetragonal
# Total moment (μB/cell): 0.0
data_Hf2BiCl
_cell_length_a 5.1380
_cell_length_b 5.1380
_cell_length_c 9.0354
_cell_angle_alpha 73.48
_cell_angle_beta 73.48
_cell_angle_gamma 90.00
_symmetry_space_group_name_H-M 'P 1'
_symmetry_Int_Tables_number 1
loop_
_symmetry_equiv_pos_as_xyz
'x,y,z'
loop_
_atom_site_label
_atom_site_type_symbol
_atom_site_fract_x
_atom_site_fract_y
_atom_site_fract_z
_atom_site_occupancy
Hf1 Hf 0.5399 0.1250 0.2500 1
Hf2 Hf 0.8750 0.7899 0.7500 1
Bi1 Bi 0.7500 0.2500 0.5000 1
Cl1 Cl 0.2500 0.7500 0.5000 1
Bi2 Bi 0.0000 0.0000 0.0000 1
Hf3 Hf 0.3750 0.4601 0.7500 1
Hf4 Hf 0.2101 0.6250 0.2500 1
Cl2 Cl 0.5000 0.5000 0.0000 1


(8)
# HfBiCl2, relaxed, DFT PBE
# Energy above the lowest structure with this stoichiometry (meV per atom): 520.6
# Uncorrected energy (eV per atom): -4.77
# Space group: No. 122
# Energy relative to the elements, uncorrected (eV per atom): -0.385
# Crystal system: tetragonal
# Total moment (μB/cell): 1.1
data_HfBiCl2
_cell_length_a 4.5578
_cell_length_b 4.5578
_cell_length_c 9.8905
_cell_angle_alpha 76.68
_cell_angle_beta 76.68
_cell_angle_gamma 90.00
_symmetry_space_group_name_H-M 'P 1'
_symmetry_Int_Tables_number 1
loop_
_symmetry_equiv_pos_as_xyz
'x,y,z'
loop_
_atom_site_label
_atom_site_type_symbol
_atom_site_fract_x
_atom_site_fract_y
_atom_site_fract_z
_atom_site_occupancy
Cl1 Cl 0.3750 0.4184 0.7500 1
Hf1 Hf 0.5000 0.5000 0.0000 1
Cl2 Cl 0.5816 0.1250 0.2500 1
Bi1 Bi 0.0000 0.0000 0.0000 1
Bi2 Bi 0.7500 0.2500 0.5000 1
Cl3 Cl 0.8750 0.8316 0.7500 1
Cl4 Cl 0.1684 0.6250 0.2500 1
Hf2 Hf 0.2500 0.7500 0.5000 1


(9)
# HfBiCl, relaxed, DFT PBE
# Uncorrected energy (eV per atom): -5.91
# Space group: No. 12
# Energy relative to the elements, uncorrected (eV per atom): -0.682
# Crystal system: monoclinic
# Total moment (μB/cell): 0.0
data_HfBiCl
_cell_length_a 3.3065
_cell_length_b 7.6212
_cell_length_c 8.5187
_cell_angle_alpha 75.45
_cell_angle_beta 78.81
_cell_angle_gamma 77.47
_symmetry_space_group_name_H-M 'P 1'
_symmetry_Int_Tables_number 1
loop_
_symmetry_equiv_pos_as_xyz
'x,y,z'
loop_
_atom_site_label
_atom_site_type_symbol
_atom_site_fract_x
_atom_site_fract_y
_atom_site_fract_z
_atom_site_occupancy
Cl1 Cl 0.6854 0.7652 0.8640 1
Cl2 Cl 0.3146 0.2348 0.1360 1
Hf1 Hf 0.7447 0.1417 0.3689 1
Hf2 Hf 0.2553 0.8583 0.6311 1
Bi1 Bi 0.9520 0.7164 0.3795 1
Bi2 Bi 0.0480 0.2836 0.6205 1


(10)
# Hf2Bi2Cl, relaxed, DFT PBE
# Uncorrected energy (eV per atom): -6.19
# Space group: No. 127
# Energy relative to the elements, uncorrected (eV per atom): -0.286
# Crystal system: tetragonal
# Total moment (μB/cell): 0.0
data_Hf2Bi2Cl
_cell_length_a 7.9959
_cell_length_b 7.9959
_cell_length_c 3.8939
_cell_angle_alpha 90.00
_cell_angle_beta 90.00
_cell_angle_gamma 90.00
_symmetry_space_group_name_H-M 'P 1'
_symmetry_Int_Tables_number 1
loop_
_symmetry_equiv_pos_as_xyz
'x,y,z'
loop_
_atom_site_label
_atom_site_type_symbol
_atom_site_fract_x
_atom_site_fract_y
_atom_site_fract_z
_atom_site_occupancy
Hf1 Hf 0.3569 0.8569 0.0000 1
Cl1 Cl 0.0000 0.0000 0.0000 1
Bi1 Bi 0.3491 0.1509 0.5000 1
Bi2 Bi 0.8491 0.3491 0.5000 1
Bi3 Bi 0.6509 0.8491 0.5000 1
Hf2 Hf 0.1431 0.3569 0.0000 1
Bi4 Bi 0.1509 0.6509 0.5000 1
Hf3 Hf 0.6431 0.1431 0.0000 1
Cl2 Cl 0.5000 0.5000 0.0000 1
Hf4 Hf 0.8569 0.6431 0.0000 1


(11)
# HfBiCl2, relaxed, DFT PBE
# Energy above the lowest structure with this stoichiometry (meV per atom): 0.0
# Uncorrected energy (eV per atom): -5.29
# Space group: No. 166
# Energy relative to the elements, uncorrected (eV per atom): -0.906
# Crystal system: trigonal
# Total moment (μB/cell): 0.0
data_HfBiCl2
_cell_length_a 12.7216
_cell_length_b 12.7216
_cell_length_c 12.7216
_cell_angle_alpha 14.82
_cell_angle_beta 14.82
_cell_angle_gamma 14.82
_symmetry_space_group_name_H-M 'P 1'
_symmetry_Int_Tables_number 1
loop_
_symmetry_equiv_pos_as_xyz
'x,y,z'
loop_
_atom_site_label
_atom_site_type_symbol
_atom_site_fract_x
_atom_site_fract_y
_atom_site_fract_z
_atom_site_occupancy
Hf1 Hf 0.5000 0.5000 0.5000 1
Cl1 Cl 0.8812 0.8812 0.8812 1
Cl2 Cl 0.1188 0.1188 0.1188 1
Bi1 Bi 0.0000 0.0000 0.0000 1


(12)
# HfBiI2Cl, relaxed, DFT PBE
# Uncorrected energy (eV per atom): -3.95
# Space group: No. 123
# Energy relative to the elements, uncorrected (eV per atom): -0.192
# Crystal system: tetragonal
# Total moment (μB/cell): 0.0
data_HfBiI2Cl
_cell_length_a 5.5332
_cell_length_b 5.8682
_cell_length_c 5.5332
_cell_angle_alpha 90.00
_cell_angle_beta 90.00
_cell_angle_gamma 90.00
_symmetry_space_group_name_H-M 'P 1'
_symmetry_Int_Tables_number 1
loop_
_symmetry_equiv_pos_as_xyz
'x,y,z'
loop_
_atom_site_label
_atom_site_type_symbol
_atom_site_fract_x
_atom_site_fract_y
_atom_site_fract_z
_atom_site_occupancy
Cl1 Cl 0.5000 0.5000 0.5000 1
I1 I 0.5000 0.0000 0.0000 1
Bi1 Bi 0.0000 0.5000 0.0000 1
I2 I 0.0000 0.0000 0.5000 1
Hf1 Hf 0.0000 0.0000 0.0000 1


(13)
# HfIn2BiCl, relaxed, DFT PBE
# Uncorrected energy (eV per atom): -4.13
# Space group: No. 123
# Energy relative to the elements, uncorrected (eV per atom): 0.101
# Crystal system: tetragonal
# Total moment (μB/cell): 0.0
data_HfIn2BiCl
_cell_length_a 5.7586
_cell_length_b 4.7773
_cell_length_c 5.7586
_cell_angle_alpha 90.00
_cell_angle_beta 90.00
_cell_angle_gamma 90.00
_symmetry_space_group_name_H-M 'P 1'
_symmetry_Int_Tables_number 1
loop_
_symmetry_equiv_pos_as_xyz
'x,y,z'
loop_
_atom_site_label
_atom_site_type_symbol
_atom_site_fract_x
_atom_site_fract_y
_atom_site_fract_z
_atom_site_occupancy
Hf1 Hf 0.0000 0.0000 0.0000 1
In1 In 0.0000 0.0000 0.5000 1
In2 In 0.5000 0.0000 0.0000 1
Cl1 Cl 0.0000 0.5000 0.0000 1
Bi1 Bi 0.5000 0.5000 0.5000 1


(14)
# HfMn2BiCl, relaxed, DFT PBE
# Uncorrected energy (eV per atom): -5.82
# Space group: No. 123
# Energy relative to the elements, uncorrected (eV per atom): 0.980
# Crystal system: tetragonal
# Total moment (μB/cell): 0.0
data_HfMn2BiCl
_cell_length_a 4.1382
_cell_length_b 5.6201
_cell_length_c 4.1382
_cell_angle_alpha 90.00
_cell_angle_beta 90.00
_cell_angle_gamma 90.00
_symmetry_space_group_name_H-M 'P 1'
_symmetry_Int_Tables_number 1
loop_
_symmetry_equiv_pos_as_xyz
'x,y,z'
loop_
_atom_site_label
_atom_site_type_symbol
_atom_site_fract_x
_atom_site_fract_y
_atom_site_fract_z
_atom_site_occupancy
Mn1 Mn 0.5000 0.0000 0.0000 1
Hf1 Hf 0.5000 0.5000 0.5000 1
Cl1 Cl 0.0000 0.0000 0.0000 1
Mn2 Mn 0.0000 0.0000 0.5000 1
Bi1 Bi 0.0000 0.5000 0.0000 1